# 1
The following is a DFT calculation (PBE) of a geometry-optimized Nd6PIr2Br3 structure.

```
Nd6PIr2Br3
1.0
3.640 -6.301 0.000
3.640 6.301 0.000
-2.402 0.000 7.668
Nd P Ir Br
6 1 2 3
direct
0.092 0.435 0.803
0.223 0.223 0.197
0.435 0.092 0.803
0.565 0.908 0.197
0.777 0.777 0.803
0.908 0.565 0.197
0.500 0.500 0.000
0.167 0.833 0.000
0.833 0.167 0.000
0.000 0.000 0.500
0.337 0.663 0.500
0.663 0.337 0.500
```

Summary:
- spin magnetization (μB per atom) = 0.000
- calculated density (g/cm³) = 7.179
- VASP energy (eV per atom) = -5.93
- crystal system = monoclinic
- ΔE_f (raw) (meV/atom) = -1197.2
- symmetry = C2/m, No. 12

***

# 2
The following is a DFT calculation (PBE) of a geometry-optimized SmCo2Ni3 structure.

```
SmCo2Ni3
1.0
4.936 0.000 0.000
-2.468 4.275 0.000
0.000 0.000 3.976
Sm Co Ni
1 2 3
direct
0.000 0.000 0.000
0.333 0.667 0.000
0.667 0.333 0.000
0.000 0.500 0.500
0.500 0.000 0.500
0.500 0.500 0.500
```

Summary:
- spin magnetization (μB per atom) = 0.651
- calculated density (g/cm³) = 8.794
- VASP energy (eV per atom) = -6.20
- crystal system = hexagonal
- symmetry = P6/mmm, No. 191
- DFT formation energy (eV per formula unit) = -0.9

***

# 3
The following is a DFT calculation (PBE) of a geometry-optimized AsSe2 structure.

```
AsSe2
1.0
11.190 0.000 0.000
0.000 3.609 0.000
-2.878 0.000 8.624
As Se
4 8
direct
0.217 0.000 0.398
0.283 0.500 0.602
0.717 0.500 0.398
0.783 0.000 0.602
0.087 0.500 0.661
0.182 0.000 0.913
0.318 0.500 0.087
0.413 0.000 0.339
0.587 0.000 0.661
0.682 0.500 0.913
0.818 0.000 0.087
0.913 0.500 0.339
```

Summary:
- spin magnetization (μB per atom) = 0.000
- calculated density (g/cm³) = 4.440
- VASP energy (eV per atom) = -3.76
- crystal system = monoclinic
- ΔE_f (raw) (meV/atom) = 108.0
- symmetry = C2/m, No. 12

***

Repeat the second record exactly.
The following is a DFT calculation (PBE) of a geometry-optimized SmCo2Ni3 structure.

```
SmCo2Ni3
1.0
4.936 0.000 0.000
-2.468 4.275 0.000
0.000 0.000 3.976
Sm Co Ni
1 2 3
direct
0.000 0.000 0.000
0.333 0.667 0.000
0.667 0.333 0.000
0.000 0.500 0.500
0.500 0.000 0.500
0.500 0.500 0.500
```

Summary:
- spin magnetization (μB per atom) = 0.651
- calculated density (g/cm³) = 8.794
- VASP energy (eV per atom) = -6.20
- crystal system = hexagonal
- symmetry = P6/mmm, No. 191
- DFT formation energy (eV per formula unit) = -0.9

***

Question: Number 2 is which compound?
Answer: SmCo2Ni3

***

Question: Which of these has the lowest VASP energy?
Answer: SmCo2Ni3